Record 1
PrGa2CuIr | PBE-GGA | relaxed

a b c (Å): 4.3219 4.3219 10.0788
angles (deg): 90.00 90.00 90.00
Space group P4/nmm (No. 129, origin choice 2)
Symmetry-distinct sites (fractional):
Pr 0.2500 0.2500 0.2468 [2 per cell]
Ga 0.2500 0.2500 0.8812 [2 per cell]
Ga 0.2500 0.7500 0.5000 [2 per cell]
Cu 0.2500 0.7500 0.0000 [2 per cell]
Ir 0.2500 0.2500 0.6345 [2 per cell]

Total DFT energy (no corrections), Ry/atom: -0.3848
Mass density, kg/m³: 9457
Total magnetic moment, μB per cell: 0.0



Record 2
LaInPdPt | PBE-GGA | relaxed

a b c (Å): 4.6821 4.6821 9.3909
angles (deg): 90.00 90.00 120.00
Space group P-6m2 (No. 187)
Symmetry-distinct sites (fractional):
La 0.0000 0.0000 0.0000 [1 per cell]
La 0.3333 0.6667 0.5000 [1 per cell]
In 0.6667 0.3333 0.2510 [2 per cell]
Pd 0.3333 0.6667 0.1649 [2 per cell]
Pt 0.0000 0.0000 0.3283 [2 per cell]

Total DFT energy (no corrections), Ry/atom: -0.4120
Mass density, kg/m³: 10343
Energy relative to the lowest polymorph listed for this composition, meV per atom: 3
Total magnetic moment, μB per cell: 0.0



- The highest total DFT energy (no corrections) belongs to which entry?
  PrGa2CuIr



What did the second record say?
LaInPdPt | PBE-GGA | relaxed

a b c (Å): 4.6821 4.6821 9.3909
angles (deg): 90.00 90.00 120.00
Space group P-6m2 (No. 187)
Symmetry-distinct sites (fractional):
La 0.0000 0.0000 0.0000 [1 per cell]
La 0.3333 0.6667 0.5000 [1 per cell]
In 0.6667 0.3333 0.2510 [2 per cell]
Pd 0.3333 0.6667 0.1649 [2 per cell]
Pt 0.0000 0.0000 0.3283 [2 per cell]

Total DFT energy (no corrections), Ry/atom: -0.4120
Mass density, kg/m³: 10343
Energy relative to the lowest polymorph listed for this composition, meV per atom: 3
Total magnetic moment, μB per cell: 0.0